No. 1
Below is an optimized crystal structure of NaBeTc3, with properties calculated at the PBE-GGA level.

Output
* total magnetic moment: 4.40 μB/cell
* distance to the lowest polymorph of the same formula: 1695 meV per atom
* calculated volume: 89 Å³/cell
* crystal system: cubic
* energy: -4.46 eV per atom

Unit cell a=4.465 b=4.465 c=4.465 alpha=90.00 beta=90.00 gamma=90.00
Fractional positions:
1 Na 0.000 0.000 0.000
2 Be 0.500 0.500 0.500
3 Tc 0.000 0.000 0.500
4 Tc 0.000 0.500 0.000
5 Tc 0.500 0.000 0.000



No. 2
Below is an optimized crystal structure of Pr2SiPd, with properties calculated at the PBE-GGA level.

Output
* total magnetic moment: 0.00 μB/cell
* calculated volume: 204 Å³/cell
* crystal system: monoclinic
* energy: -5.75 eV per atom
* formation energy from raw total energies: -0.708 eV/atom

Unit cell a=5.966 b=4.369 c=8.322 alpha=90.00 beta=110.03 gamma=90.00
Fractional positions:
1 Pr 0.202 0.250 0.419
2 Pr 0.287 0.750 0.066
3 Pr 0.713 0.250 0.934
4 Pr 0.798 0.750 0.581
5 Si 0.365 0.750 0.709
6 Si 0.635 0.250 0.291
7 Pd 0.165 0.250 0.783
8 Pd 0.835 0.750 0.217



No. 3
Below is an optimized crystal structure of Ce2TeBr3, with properties calculated at the PBE-GGA level.

Output
* total magnetic moment: 6.01 μB/cell
* distance to the lowest polymorph of the same formula: 100 meV per atom
* calculated volume: 476 Å³/cell
* crystal system: monoclinic
* energy: -4.85 eV per atom
* formation energy from raw total energies: -1.512 eV/atom

Unit cell a=8.278 b=4.491 c=13.133 alpha=90.00 beta=102.84 gamma=90.00
Fractional positions:
1 Ce 0.009 0.250 0.387
2 Ce 0.367 0.750 0.840
3 Ce 0.633 0.250 0.160
4 Ce 0.991 0.750 0.613
5 Te 0.274 0.250 0.665
6 Te 0.726 0.750 0.335
7 Br 0.016 0.750 0.840
8 Br 0.244 0.750 0.420
9 Br 0.380 0.750 0.076
10 Br 0.620 0.250 0.924
11 Br 0.756 0.250 0.580
12 Br 0.984 0.250 0.160



No. 4
Below is an optimized crystal structure of MoAs2Cl, with properties calculated at the PBE-GGA level.

Output
* total magnetic moment: 0.00 μB/cell
* distance to the lowest polymorph of the same formula: 325 meV per atom
* calculated volume: 82 Å³/cell
* crystal system: tetragonal
* energy: -5.31 eV per atom
* formation energy from raw total energies: 0.184 eV/atom

Unit cell a=3.014 b=3.014 c=9.063 alpha=90.00 beta=90.00 gamma=90.00
Fractional positions:
1 Mo 0.000 0.000 0.000
2 As 0.000 0.000 0.420
3 As 0.500 0.500 0.170
4 Cl 0.500 0.500 0.823



No. 5
Below is an optimized crystal structure of CsSbSeCl2, with properties calculated at the PBE-GGA level.

Output
* total magnetic moment: 0.00 μB/cell
* calculated volume: 167 Å³/cell
* crystal system: tetragonal
* energy: -3.42 eV per atom
* formation energy from raw total energies: -0.989 eV/atom

Unit cell a=5.564 b=5.564 c=5.395 alpha=90.00 beta=90.00 gamma=90.00
Fractional positions:
1 Cs 0.000 0.000 0.000
2 Sb 0.500 0.500 0.500
3 Se 0.500 0.500 0.000
4 Cl 0.000 0.500 0.500
5 Cl 0.500 0.000 0.500



No. 6
Below is an optimized crystal structure of TlGe4O7, with properties calculated at the PBE-GGA level.

Output
* total magnetic moment: 2.07 μB/cell
* calculated volume: 440 Å³/cell
* crystal system: orthorhombic
* energy: -5.95 eV per atom
* formation energy from raw total energies: -1.325 eV/atom

Unit cell a=12.292 b=5.378 c=6.654 alpha=90.00 beta=90.00 gamma=90.00
Fractional positions:
1 Tl 0.000 0.236 0.000
2 Tl 0.500 0.764 0.500
3 Ge 0.131 0.712 0.633
4 Ge 0.223 0.776 0.161
5 Ge 0.277 0.224 0.661
6 Ge 0.369 0.288 0.133
7 Ge 0.631 0.288 0.133
8 Ge 0.723 0.224 0.661
9 Ge 0.777 0.776 0.161
10 Ge 0.869 0.712 0.633
11 O 0.000 0.807 0.730
12 O 0.128 0.712 0.370
13 O 0.151 0.407 0.732
14 O 0.229 0.912 0.745
15 O 0.271 0.088 0.245
16 O 0.349 0.593 0.232
17 O 0.372 0.288 0.870
18 O 0.500 0.193 0.230
19 O 0.628 0.288 0.870
20 O 0.651 0.593 0.232
21 O 0.729 0.088 0.245
22 O 0.771 0.912 0.745
23 O 0.849 0.407 0.732
24 O 0.872 0.712 0.370



No. 7
Below is an optimized crystal structure of AcZnSiPt3, with properties calculated at the PBE-GGA level.

Output
* total magnetic moment: 0.00 μB/cell
* calculated volume: 263 Å³/cell
* crystal system: orthorhombic
* energy: -5.62 eV per atom
* formation energy from raw total energies: -0.800 eV/atom

Unit cell a=8.246 b=8.246 c=5.852 alpha=90.00 beta=90.00 gamma=138.70
Fractional positions:
1 Ac 0.205 0.795 0.750
2 Ac 0.795 0.205 0.250
3 Zn 0.104 0.896 0.250
4 Zn 0.896 0.104 0.750
5 Si 0.422 0.578 0.250
6 Si 0.578 0.422 0.750
7 Pt 0.246 0.246 0.000
8 Pt 0.246 0.246 0.500
9 Pt 0.268 0.732 0.250
10 Pt 0.732 0.268 0.750
11 Pt 0.754 0.754 0.000
12 Pt 0.754 0.754 0.500



No. 8
Below is an optimized crystal structure of Li11Sn4Hg9, with properties calculated at the PBE-GGA level.

Output
* total magnetic moment: 0.00 μB/cell
* calculated volume: 475 Å³/cell
* crystal system: orthorhombic
* energy: -1.97 eV per atom

Unit cell a=12.407 b=12.407 c=3.204 alpha=90.00 beta=90.00 gamma=105.79
Fractional positions:
1 Li 0.000 0.000 0.000
2 Li 0.046 0.404 0.000
3 Li 0.183 0.817 0.000
4 Li 0.207 0.207 0.000
5 Li 0.366 0.634 0.000
6 Li 0.404 0.046 0.000
7 Li 0.596 0.954 0.000
8 Li 0.634 0.366 0.000
9 Li 0.793 0.793 0.000
10 Li 0.817 0.183 0.000
11 Li 0.954 0.596 0.000
12 Sn 0.250 0.415 0.500
13 Sn 0.415 0.250 0.500
14 Sn 0.585 0.750 0.500
15 Sn 0.750 0.585 0.500
16 Hg 0.014 0.201 0.500
17 Hg 0.153 0.621 0.500
18 Hg 0.201 0.014 0.500
19 Hg 0.379 0.847 0.500
20 Hg 0.500 0.500 0.500
21 Hg 0.621 0.153 0.500
22 Hg 0.799 0.986 0.500
23 Hg 0.847 0.379 0.500
24 Hg 0.986 0.799 0.500